PBE with a Hubbard U TlMoF2, optimized geometry; symmetry = R-3m, No. 166; theoretical density = 6.67 g/cm3; uncorrected energy = -17.28 eV/f.u.; V = 84 Å³ per cell; energy above the lowest structure with this stoichiometry = 77.5 kJ/mol of formula units
1.0
1.896 0.000 9.027
-0.948 1.642 9.027
-0.948 -1.642 9.027
F Tl Mo
2 1 1
direct
0.122 0.122 0.122 F
0.878 0.878 0.878 F
0.000 0.000 0.000 Tl
0.500 0.500 0.500 Mo